The following is a PBE calculation of a relaxed Tb3Pr3Y crystal, from the Alexandria database.

a = 8.9450 Å, b = 8.9450 Å, c = 8.9450 Å
α = 58.58°, β = 58.58°, γ = 58.58°
Fractional coordinates of all 14 atoms:
Tb: 0.5715 0.0648 0.7243
Tb: 0.0648 0.7243 0.5715
Tb: 0.7243 0.5715 0.0648
Tb: 0.4285 0.9352 0.2757
Tb: 0.9352 0.2757 0.4285
Tb: 0.2757 0.4285 0.9352
Pr: 0.1802 0.9375 0.7037
Pr: 0.7037 0.1802 0.9375
Pr: 0.8198 0.0625 0.2963
Pr: 0.9375 0.7037 0.1802
Pr: 0.0625 0.2963 0.8198
Pr: 0.2963 0.8198 0.0625
Y: 0.6523 0.6523 0.6523
Y: 0.3477 0.3477 0.3477

Results
energy of formation: 1.69 eV per formula unit
V: 489.6 Å³ per cell
M_tot: 0.000 μB/atom
symmetry: R-3 (148)
polymorph energy (0 for the lowest one): 218 meV per atom